VASP calculation (PBE) on a relaxed Re2AsSe crystal.

a b c (Å): 3.918 2.925 7.362
angles (deg): 66.68 90.00 90.00
Positions (direct):
Re: 0.000 0.959 0.041
Re: 0.500 0.289 0.211
As: 0.500 0.653 0.846
Se: 0.000 0.599 0.402

Values from the calculation:
SG = Pm
E above lowest polymorph = 218 meV per atom
ΔE_f (raw) = 0.29 eV/atom

VASP calculation (PBE) on a relaxed Re2AsSe crystal.

a b c (Å): 4.513 4.513 4.513
angles (deg): 60.00 60.00 60.00
Positions (direct):
Re: 0.000 0.000 0.000
Re: 0.750 0.750 0.750
As: 0.500 0.500 0.500
Se: 0.250 0.250 0.250

Values from the calculation:
SG = F-43m
E above lowest polymorph = 869 meV per atom
ΔE_f (raw) = 0.95 eV/atom

VASP calculation (PBE) on a relaxed ReAs2Se crystal.

a b c (Å): 5.859 4.737 3.311
angles (deg): 79.37 74.52 121.68
Positions (direct):
Re: 0.000 0.500 0.500
As: 0.000 0.000 0.000
As: 0.500 0.000 0.500
Se: 0.500 0.500 0.000

Values from the calculation:
SG = C2/m
ΔE_f (raw) = 0.65 eV/atom

VASP calculation (PBE) on a relaxed Re2AsSe crystal.

a b c (Å): 4.301 4.301 5.244
angles (deg): 78.59 78.59 40.87
Positions (direct):
Re: 0.000 0.000 0.010
Re: 0.500 0.500 0.490
As: 0.250 0.250 0.250
Se: 0.750 0.750 0.750

Values from the calculation:
SG = C2/m
E above lowest polymorph = 405 meV per atom
ΔE_f (raw) = 0.48 eV/atom

VASP calculation (PBE) on a relaxed Re2AsSe crystal.

a b c (Å): 5.713 5.713 5.713
angles (deg): 149.65 134.96 55.28
Positions (direct):
Re: 0.953 0.953 0.000
Re: 0.547 0.547 0.000
As: 0.750 0.250 0.500
Se: 0.250 0.750 0.500

Values from the calculation:
SG = Immm
E above lowest polymorph = 716 meV per atom
ΔE_f (raw) = 0.79 eV/atom

VASP calculation (PBE) on a relaxed Re2AsSe crystal.

a b c (Å): 5.059 5.059 4.304
angles (deg): 76.03 76.03 35.35
Positions (direct):
Re: 0.994 0.994 0.039
Re: 0.745 0.745 0.710
As: 0.258 0.258 0.190
Se: 0.502 0.502 0.561

Values from the calculation:
SG = Cm
E above lowest polymorph = 412 meV per atom
ΔE_f (raw) = 0.49 eV/atom

VASP calculation (PBE) on a relaxed Re2AsSe crystal.

a b c (Å): 2.952 2.952 8.204
angles (deg): 90.00 90.00 90.00
Positions (direct):
Re: 0.000 0.000 0.015
Re: 0.500 0.500 0.240
As: 0.500 0.500 0.818
Se: 0.000 0.000 0.428

Values from the calculation:
SG = P4mm
E above lowest polymorph = 0 meV per atom
ΔE_f (raw) = 0.08 eV/atom

VASP calculation (PBE) on a relaxed ReAs2Se crystal.

a b c (Å): 6.002 6.002 6.939
angles (deg): 64.37 64.37 90.00
Positions (direct):
Re: 0.000 0.000 0.000
Re: 0.750 0.250 0.500
As: 0.671 0.125 0.250
As: 0.079 0.625 0.250
As: 0.375 0.329 0.750
As: 0.875 0.921 0.750
Se: 0.500 0.500 0.000
Se: 0.250 0.750 0.500

Values from the calculation:
SG = I-42d
ΔE_f (raw) = 0.51 eV/atom

VASP calculation (PBE) on a relaxed Re2AsSe crystal.

a b c (Å): 2.862 2.862 10.045
angles (deg): 90.00 90.00 118.73
Positions (direct):
Re: 0.000 0.000 0.016
Re: 0.500 0.500 0.235
As: 0.500 0.500 0.800
Se: 0.000 0.000 0.449

Values from the calculation:
SG = Cmm2
E above lowest polymorph = 393 meV per atom
ΔE_f (raw) = 0.47 eV/atom

VASP calculation (PBE) on a relaxed ReAs2Se crystal.

a b c (Å): 6.232 6.232 6.232
angles (deg): 151.58 137.99 51.51
Positions (direct):
Re: 0.750 0.250 0.500
As: 0.935 0.935 0.000
As: 0.565 0.565 0.000
Se: 0.250 0.750 0.500

Values from the calculation:
SG = Immm
ΔE_f (raw) = 0.42 eV/atom

VASP calculation (PBE) on a relaxed Re2AsSe crystal.

a b c (Å): 4.775 4.775 4.775
angles (deg): 129.39 129.39 74.38
Positions (direct):
Re: 0.000 0.000 0.000
Re: 0.250 0.750 0.500
As: 0.750 0.250 0.500
Se: 0.500 0.500 0.000

Values from the calculation:
SG = I-4m2
E above lowest polymorph = 665 meV per atom
ΔE_f (raw) = 0.74 eV/atom

VASP calculation (PBE) on a relaxed ReAs2Se crystal.

a b c (Å): 3.120 4.641 6.597
angles (deg): 45.28 90.00 90.00
Positions (direct):
Re: 0.500 0.500 0.500
As: 0.000 0.000 0.000
As: 0.500 0.500 0.000
Se: 0.000 0.000 0.500

Values from the calculation:
SG = Pmmm
ΔE_f (raw) = 0.74 eV/atom

VASP calculation (PBE) on a relaxed ReAs2Se crystal.

a b c (Å): 5.007 3.781 3.781
angles (deg): 90.00 90.00 90.00
Site moments in Bohr magnetons follow the coordinates.
Positions (direct):
Re: 0.500 0.500 0.000  1.04
As: 0.000 0.000 0.000  0.00
As: 0.000 0.500 0.500  0.00
Se: 0.500 0.000 0.500  0.01

Values from the calculation:
SG = P4/mmm
ΔE_f (raw) = 0.90 eV/atom

VASP calculation (PBE) on a relaxed Re2AsSe crystal.

a b c (Å): 3.100 3.100 6.228
angles (deg): 90.00 90.00 90.00
Positions (direct):
Re: 0.000 0.000 0.992
Re: 0.000 0.000 0.508
As: 0.500 0.500 0.750
Se: 0.500 0.500 0.250

Values from the calculation:
SG = P4/mmm
E above lowest polymorph = 398 meV per atom
ΔE_f (raw) = 0.47 eV/atom

VASP calculation (PBE) on a relaxed ReSiAs2Se crystal.

a b c (Å): 4.638 4.638 4.668
angles (deg): 90.00 90.00 90.00
Site moments in Bohr magnetons follow the coordinates.
Positions (direct):
Re: 0.500 0.500 0.500  2.28
As: 0.000 0.500 0.000  -0.14
As: 0.500 0.000 0.000  -0.14
Si: 0.000 0.000 0.000  -0.02
Se: 0.000 0.000 0.500  -0.12

Values from the calculation:
SG = P4/mmm
E above lowest polymorph = 450 meV per atom
ΔE_f (raw) = 1.31 eV/atom

VASP calculation (PBE) on a relaxed ReSiAs2Se crystal.

a b c (Å): 4.676 4.676 5.481
angles (deg): 90.00 90.00 90.00
Site moments in Bohr magnetons follow the coordinates.
Positions (direct):
Re: 0.000 0.000 0.000  0.38
As: 0.000 0.500 0.000  -0.04
As: 0.500 0.000 0.000  -0.04
Si: 0.500 0.500 0.500  0.10
Se: 0.000 0.000 0.500  0.00

Values from the calculation:
SG = P4/mmm
E above lowest polymorph = 0 meV per atom
ΔE_f (raw) = 0.86 eV/atom

VASP calculation (PBE) on a relaxed ReSnAs2Se crystal.

a b c (Å): 4.699 4.699 5.667
angles (deg): 90.00 90.00 90.00
Positions (direct):
Re: 0.000 0.000 0.000
As: 0.000 0.500 0.000
As: 0.500 0.000 0.000
Sn: 0.500 0.500 0.500
Se: 0.000 0.000 0.500

Values from the calculation:
SG = P4/mmm
E above lowest polymorph = 0 meV per atom
ΔE_f (raw) = 0.44 eV/atom

VASP calculation (PBE) on a relaxed TaReAs2Se crystal.

a b c (Å): 4.703 4.703 5.126
angles (deg): 90.00 90.00 90.00
Site moments in Bohr magnetons follow the coordinates.
Positions (direct):
Re: 0.000 0.000 0.000  0.55
As: 0.000 0.500 0.000  -0.06
As: 0.500 0.000 0.000  -0.06
Se: 0.000 0.000 0.500  -0.09
Ta: 0.500 0.500 0.500  1.76

Values from the calculation:
SG = P4/mmm
E above lowest polymorph = 0 meV per atom
ΔE_f (raw) = 1.19 eV/atom

VASP calculation (PBE) on a relaxed TaReAs2Se crystal.

a b c (Å): 5.035 5.035 4.900
angles (deg): 90.00 90.00 90.00
Site moments in Bohr magnetons follow the coordinates.
Positions (direct):
Re: 0.500 0.500 0.500  3.80
As: 0.000 0.500 0.000  -0.14
As: 0.500 0.000 0.000  -0.14
Se: 0.000 0.000 0.500  -0.04
Ta: 0.000 0.000 0.000  0.30

Values from the calculation:
SG = P4/mmm
E above lowest polymorph = 27 meV per atom
ΔE_f (raw) = 1.21 eV/atom

VASP calculation (PBE) on a relaxed ReTcAs2Se crystal.

a b c (Å): 4.681 4.681 5.402
angles (deg): 90.00 90.00 90.00
Site moments in Bohr magnetons follow the coordinates.
Positions (direct):
Re: 0.000 0.000 0.000  -0.11
As: 0.000 0.500 0.000  -0.03
As: 0.500 0.000 0.000  -0.03
Tc: 0.500 0.500 0.500  3.57
Se: 0.000 0.000 0.500  -0.02

Values from the calculation:
SG = P4/mmm
E above lowest polymorph = 0 meV per atom
ΔE_f (raw) = 1.20 eV/atom

VASP calculation (PBE) on a relaxed ReTcAsSe2 crystal.

a b c (Å): 4.935 4.935 4.763
angles (deg): 90.00 90.00 90.00
Site moments in Bohr magnetons follow the coordinates.
Positions (direct):
Re: 0.000 0.000 0.000  -0.26
As: 0.000 0.000 0.500  -0.07
Tc: 0.500 0.500 0.500  3.56
Se: 0.000 0.500 0.000  -0.02
Se: 0.500 0.000 0.000  -0.02

Values from the calculation:
SG = P4/mmm
E above lowest polymorph = 0 meV per atom
ΔE_f (raw) = 1.20 eV/atom

VASP calculation (PBE) on a relaxed ReTeAsSe2 crystal.

a b c (Å): 4.818 4.818 5.038
angles (deg): 90.00 90.00 90.00
Positions (direct):
Re: 0.000 0.000 0.000
As: 0.000 0.000 0.500
Te: 0.500 0.500 0.500
Se: 0.000 0.500 0.000
Se: 0.500 0.000 0.000

Values from the calculation:
SG = P4/mmm
E above lowest polymorph = 0 meV per atom
ΔE_f (raw) = 0.49 eV/atom

VASP calculation (PBE) on a relaxed Th4ReAsSe2 crystal.

a b c (Å): 4.174 7.440 7.435
angles (deg): 108.64 90.00 90.00
Positions (direct):
Th: 0.500 0.257 0.234
Th: 0.500 0.743 0.766
Th: 0.000 0.274 0.777
Th: 0.000 0.726 0.223
Re: 0.500 0.500 0.000
As: 0.000 0.000 0.000
Se: 0.500 0.000 0.500
Se: 0.000 0.500 0.500

Values from the calculation:
SG = P2/m
ΔE_f (raw) = -1.09 eV/atom

VASP calculation (PBE) on a relaxed TiReAsSe2 crystal.

a b c (Å): 4.943 4.943 4.725
angles (deg): 90.00 90.00 90.00
Site moments in Bohr magnetons follow the coordinates.
Positions (direct):
Re: 0.000 0.000 0.000  0.57
As: 0.000 0.000 0.500  -0.02
Se: 0.000 0.500 0.000  0.03
Se: 0.500 0.000 0.000  0.03
Ti: 0.500 0.500 0.500  -0.01

Values from the calculation:
SG = P4/mmm
E above lowest polymorph = 0 meV per atom
ΔE_f (raw) = 0.74 eV/atom

VASP calculation (PBE) on a relaxed TiReAsSe2 crystal.

a b c (Å): 4.822 4.822 5.045
angles (deg): 90.00 90.00 90.00
Site moments in Bohr magnetons follow the coordinates.
Positions (direct):
Re: 0.500 0.500 0.500  3.70
As: 0.000 0.000 0.500  -0.20
Se: 0.000 0.500 0.000  -0.11
Se: 0.500 0.000 0.000  -0.11
Ti: 0.000 0.000 0.000  0.36

Values from the calculation:
SG = P4/mmm
E above lowest polymorph = 118 meV per atom
ΔE_f (raw) = 0.86 eV/atom

VASP calculation (PBE) on a relaxed YReAsSe2 crystal.

a b c (Å): 5.352 5.352 5.562
angles (deg): 90.00 90.00 90.00
Site moments in Bohr magnetons follow the coordinates.
Positions (direct):
Y: 0.000 0.000 0.000  0.01
Re: 0.500 0.500 0.500  4.09
As: 0.000 0.000 0.500  -0.43
Se: 0.000 0.500 0.000  -0.14
Se: 0.500 0.000 0.000  -0.14

Values from the calculation:
SG = P4/mmm
E above lowest polymorph = 1007 meV per atom
ΔE_f (raw) = 0.99 eV/atom

VASP calculation (PBE) on a relaxed YReAsSe2 crystal.

a b c (Å): 5.091 5.091 4.657
angles (deg): 90.00 90.00 90.00
Site moments in Bohr magnetons follow the coordinates.
Positions (direct):
Y: 0.500 0.500 0.500  0.06
Re: 0.000 0.000 0.000  1.02
As: 0.000 0.000 0.500  -0.04
Se: 0.000 0.500 0.000  0.04
Se: 0.500 0.000 0.000  0.04

Values from the calculation:
SG = P4/mmm
E above lowest polymorph = 0 meV per atom
ΔE_f (raw) = -0.01 eV/atom

VASP calculation (PBE) on a relaxed ZrReAs2Se crystal.

a b c (Å): 4.685 4.685 5.244
angles (deg): 90.00 90.00 90.00
Positions (direct):
Re: 0.000 0.000 0.000
As: 0.000 0.500 0.000
As: 0.500 0.000 0.000
Se: 0.000 0.000 0.500
Zr: 0.500 0.500 0.500

Values from the calculation:
SG = P4/mmm
E above lowest polymorph = 0 meV per atom
ΔE_f (raw) = 0.56 eV/atom

VASP calculation (PBE) on a relaxed ZrReAs2Se crystal.

a b c (Å): 5.217 5.217 5.069
angles (deg): 90.00 90.00 90.00
Site moments in Bohr magnetons follow the coordinates.
Positions (direct):
Re: 0.500 0.500 0.500  3.88
As: 0.000 0.500 0.000  -0.19
As: 0.500 0.000 0.000  -0.19
Se: 0.000 0.000 0.500  -0.07
Zr: 0.000 0.000 0.000  0.12

Values from the calculation:
SG = P4/mmm
E above lowest polymorph = 542 meV per atom
ΔE_f (raw) = 1.11 eV/atom

no.,density of states at the Fermi level (states/eV/f.u.),uncorrected energy (eV per atom)
1,1.9,-7.96
2,4.7,-7.31
3,1.6,-5.65
4,4.7,-7.78
5,3.1,-7.46
6,2.8,-7.77
7,1.7,-8.18
8,3.3,-5.80
9,2.6,-7.79
10,3.3,-5.89
11,2.8,-7.52
12,3.8,-5.57
13,4.1,-5.40
14,3.2,-7.78
15,2.5,-4.82
16,3.4,-5.27
17,4.1,-5.40
18,7.7,-6.23
19,3.1,-6.20
20,4.8,-5.92
21,6.5,-5.69
22,4.1,-4.95
23,6.8,-7.81
24,8.9,-5.66
25,4.0,-5.54
26,4.6,-5.11
27,3.5,-6.12
28,6.0,-6.19
29,4.2,-5.65